w | First-principles (PBE) data for a relaxed HfReW crystal, as listed in Alexandria via LeMat-Bulk.

abc: 5.3243 5.3243 5.3243
angles: 119.77 119.61 90.53
Last column: nearest neighbours and their distance in Å.
Sites, in units of the cell vectors:
1 Hf 0.3771 0.1271 0.2500  6 Re 3.10-3.14, 6 W 3.13, 4 Hf 3.25-3.29
2 Hf 0.6229 0.8729 0.7500  6 Re 3.10-3.14, 6 W 3.13, 4 Hf 3.25-3.29
3 Re 0.0000 0.5000 0.5000  4 W 2.66, 2 Re 2.68
4 Re 0.5000 0.5000 0.0000  4 W 2.66, 2 Re 2.68
5 W 0.0000 0.0000 0.5000  4 Re 2.66, 2 W 2.67
6 W 0.0000 0.5000 0.0000  4 Re 2.66, 2 W 2.67

Output
Symmetry: Imma (74)


x | First-principles (PBE) data for a relaxed HfReW crystal, as listed in Alexandria via LeMat-Bulk.

abc: 5.5044 5.5044 5.5044
angles: 146.16 146.16 48.60
Last column: nearest neighbours and their distance in Å.
Sites, in units of the cell vectors:
1 Hf 0.0000 0.0000 0.0000  4 Re 2.85, 4 W 2.89
2 Re 0.6725 0.6725 0.0000  4 W 2.71, 4 Hf 2.85
3 W 0.3207 0.3207 0.0000  4 Re 2.71, 4 Hf 2.89

Output
Symmetry: I4mm (107)


Need the numbers? Relative energies in kJ/mol of atoms: w 0.0; x 8.3.